1.
Computed, not measured: crystalline NiWBr2 at its relaxed geometry at the PBE-GGA level of DFT.

Unit cell a=8.1239 b=8.1239 c=8.1239 alpha=22.35 beta=22.35 gamma=22.35
With the nearest neighbours (Å) after each atom.
Sites, in units of the cell vectors:
Ni 0.0000 0.0000 0.0000  6 Br 2.66
W 0.5000 0.5000 0.5000  6 Br 2.71
Br 0.2515 0.2515 0.2515  3 Ni 2.66, 3 W 2.71
Br 0.7485 0.7485 0.7485  3 Ni 2.66, 3 W 2.71

Results
The space-group type is No. 166. For the density of states at the Fermi level, the calculation gives 3.14 states/eV/cell. The relative energy among the computed polymorphs is 0.640 eV per atom. The electronic total energy comes out at -18.95 eV/f.u.



2.
Computed, not measured: crystalline NiW2Br at its relaxed geometry at the PBE-GGA level of DFT.

Unit cell a=4.3793 b=4.3793 c=4.3793 alpha=60.00 beta=60.00 gamma=60.00
With the nearest neighbours (Å) after each atom.
Sites, in units of the cell vectors:
Ni 0.0000 0.0000 0.0000  8 W 2.68
W 0.2500 0.2500 0.2500  4 Br 2.68, 4 Ni 2.68
W 0.7500 0.7500 0.7500  4 Br 2.68, 4 Ni 2.68
Br 0.5000 0.5000 0.5000  8 W 2.68

Results
The space-group type is No. 225. For the density of states at the Fermi level, the calculation gives 4.77 states/eV/cell. The relative energy among the computed polymorphs is 0.509 eV per atom. The electronic total energy comes out at -29.40 eV/f.u.



3.
Computed, not measured: crystalline NiW2Br at its relaxed geometry at the PBE-GGA level of DFT.

Unit cell a=9.9703 b=9.9703 c=9.9703 alpha=158.36 beta=158.36 gamma=30.80
With the nearest neighbours (Å) after each atom.
Sites, in units of the cell vectors:
Ni 0.0000 0.0000 0.0000  4 Br 2.65, 4 W 2.72
Ni 0.7500 0.2500 0.5000  4 Br 2.65, 4 W 2.72
W 0.1068 0.6250 0.9818  4 W 2.55-2.75, 2 Ni 2.72, 2 Br 2.77
W 0.3750 0.3568 0.4818  4 W 2.55-2.75, 2 Ni 2.72, 2 Br 2.77
W 0.6432 0.1250 0.0182  4 W 2.55-2.75, 2 Ni 2.72, 2 Br 2.77
W 0.8750 0.8932 0.5182  4 W 2.55-2.75, 2 Ni 2.72, 2 Br 2.77
Br 0.2500 0.7500 0.5000  4 Ni 2.65, 4 W 2.77
Br 0.5000 0.5000 0.0000  4 Ni 2.65, 4 W 2.77

Results
The space-group type is No. 122. For the density of states at the Fermi level, the calculation gives 11.85 states/eV/cell. The relative energy among the computed polymorphs is 0.634 eV per atom. The electronic total energy comes out at -28.91 eV/f.u.



4.
Computed, not measured: crystalline NiWBr2 at its relaxed geometry at the PBE-GGA level of DFT.

Unit cell a=6.4996 b=6.4996 c=6.4996 alpha=126.10 beta=126.10 gamma=79.73
With the nearest neighbours (Å) after each atom.
Sites, in units of the cell vectors:
Ni 0.0000 0.0000 0.0000  4 Br 2.35
Ni 0.7500 0.2500 0.5000  4 Br 2.35
W 0.2500 0.7500 0.5000  4 Br 2.52
W 0.5000 0.5000 0.0000  4 Br 2.52
Br 0.1012 0.6250 0.9762  2 Ni 2.35, 2 W 2.52
Br 0.3750 0.3512 0.4762  2 Ni 2.35, 2 W 2.52
Br 0.6488 0.1250 0.0238  2 Ni 2.35, 2 W 2.52
Br 0.8750 0.8988 0.5238  2 Ni 2.35, 2 W 2.52

Results
The space-group type is No. 122. For the density of states at the Fermi level, the calculation gives 5.93 states/eV/cell. The relative energy among the computed polymorphs is 0.938 eV per atom. The electronic total energy comes out at -17.76 eV/f.u.



5.
Computed, not measured: crystalline NiW2Br at its relaxed geometry at the PBE-GGA level of DFT.

Unit cell a=4.8202 b=4.8202 c=4.8583 alpha=91.08 beta=91.08 gamma=34.56
With the nearest neighbours (Å) after each atom.
Sites, in units of the cell vectors:
Ni 0.0000 0.0000 0.0000  1 Br 2.37
W 0.2730 0.2730 0.7852  2 Br 2.57, 5 W 2.71-2.86, 3 Ni 2.72-2.74
W 0.5347 0.5347 0.5401  2 Ni 2.68, 5 W 2.71-2.86, 1 Br 2.71
Br 0.7742 0.7742 0.2241  1 Ni 2.37, 2 W 2.57

Results
The space-group type is No. 8. For the density of states at the Fermi level, the calculation gives 3.28 states/eV/cell. The relative energy among the computed polymorphs is 0.399 eV per atom. The electronic total energy comes out at -29.85 eV/f.u.



6.
Computed, not measured: crystalline NiW2Br at its relaxed geometry at the PBE-GGA level of DFT.

Unit cell a=3.7520 b=3.7520 c=4.5779 alpha=90.00 beta=90.00 gamma=90.00
With the nearest neighbours (Å) after each atom.
Sites, in units of the cell vectors:
Ni 0.0000 0.0000 0.0000  4 Br 2.65, 8 W 2.96
W 0.0000 0.5000 0.5000  4 W 2.65, 4 Br 2.96, 4 Ni 2.96
W 0.5000 0.0000 0.5000  4 W 2.65, 4 Br 2.96, 4 Ni 2.96
Br 0.5000 0.5000 0.0000  4 Ni 2.65, 8 W 2.96

Results
The space-group type is No. 123. For the density of states at the Fermi level, the calculation gives 4.01 states/eV/cell. The relative energy among the computed polymorphs is 0.729 eV per atom. The electronic total energy comes out at -28.52 eV/f.u.



7.
Computed, not measured: crystalline Ni4WBr at its relaxed geometry at the PBE-GGA level of DFT.

Unit cell a=4.8090 b=4.8090 c=4.8090 alpha=60.00 beta=60.00 gamma=60.00
With the nearest neighbours (Å) after each atom.
Sites, in units of the cell vectors:
Ni 0.1242 0.1242 0.1242  6 Ni 2.39-2.42
Ni 0.1242 0.1242 0.6275  6 Ni 2.39-2.42
Ni 0.1242 0.6275 0.1242  6 Ni 2.39-2.42
Ni 0.6275 0.1242 0.1242  6 Ni 2.39-2.42
W 0.7500 0.7500 0.7500  12 Ni 2.82, 4 Br 2.94
Br 0.5000 0.5000 0.5000  12 Ni 2.82, 4 W 2.94

Results
The space-group type is No. 216. For the density of states at the Fermi level, the calculation gives 5.46 states/eV/cell. The electronic total energy comes out at -34.21 eV/f.u.



8.
Computed, not measured: crystalline NiW2Br at its relaxed geometry at the PBE-GGA level of DFT.

Unit cell a=4.6530 b=4.6530 c=4.6530 alpha=126.09 beta=126.09 gamma=79.75
With the nearest neighbours (Å) after each atom.
Sites, in units of the cell vectors:
Ni 0.0000 0.0000 0.0000  8 W 2.76-2.98, 4 Br 2.76
W 0.2500 0.7500 0.5000  4 W 2.76, 4 Ni 2.76, 4 Br 2.98
W 0.5000 0.5000 0.0000  4 W 2.76, 4 Br 2.76, 4 Ni 2.98
Br 0.7500 0.2500 0.5000  8 W 2.76-2.98, 4 Ni 2.76

Results
The space-group type is No. 119. For the density of states at the Fermi level, the calculation gives 6.31 states/eV/cell. The relative energy among the computed polymorphs is 0.699 eV per atom. The electronic total energy comes out at -28.65 eV/f.u.



no.,raw formation energy (kJ/mol of formula units)
1,302.1
2,381.9
3,429.8
4,417.1
5,339.2
6,466.6
7,341.3
8,454.8